Entry from Alexandria: an optimized crystal structure of DyIn2Pd (PBE). Values from VASP.

**DFT formation energy**: -441 meV per atom
**DOS at the Fermi energy**: 0.862 states/eV per atom
**Space group**: Fm-3m

Cell and atoms, written as Quantum ESPRESSO input:
```
&SYSTEM
  ibrav = 0, nat = 16, ntyp = 3
/
ATOMIC_SPECIES
Dy 162.50 Dy.upf
In 114.82 In.upf
Pd 106.42 Pd.upf
CELL_PARAMETERS angstrom
7.0329 0.0000 0.0000
0.0000 7.0329 0.0000
0.0000 0.0000 7.0329
ATOMIC_POSITIONS crystal
Dy 0.0000 0.0000 0.0000
Dy 0.0000 0.5000 0.5000
Dy 0.5000 0.0000 0.5000
Dy 0.5000 0.5000 0.0000
In 0.2500 0.2500 0.2500
In 0.2500 0.2500 0.7500
In 0.2500 0.7500 0.2500
In 0.2500 0.7500 0.7500
In 0.7500 0.2500 0.2500
In 0.7500 0.2500 0.7500
In 0.7500 0.7500 0.2500
In 0.7500 0.7500 0.7500
Pd 0.0000 0.0000 0.5000
Pd 0.0000 0.5000 0.0000
Pd 0.5000 0.0000 0.0000
Pd 0.5000 0.5000 0.5000
```

Entry from Alexandria: an optimized crystal structure of Dy4In5Pd2 (PBE). Values from VASP.

**DFT formation energy**: -621 meV per atom
**DOS at the Fermi energy**: 0.550 states/eV per atom
**Space group**: P2/m

Cell and atoms, written as Quantum ESPRESSO input:
```
&SYSTEM
  ibrav = 0, nat = 11, ntyp = 3
/
ATOMIC_SPECIES
Dy 162.50 Dy.upf
In 114.82 In.upf
Pd 106.42 Pd.upf
CELL_PARAMETERS angstrom
7.7187 0.0000 0.0000
0.0000 3.6360 0.0000
-0.7706 0.0000 9.6650
ATOMIC_POSITIONS crystal
Dy 0.1798 0.0000 0.3581
Dy 0.2261 0.0000 0.9386
Dy 0.7739 0.0000 0.0614
Dy 0.8202 0.0000 0.6419
In 0.1720 0.5000 0.6494
In 0.4543 0.5000 0.1777
In 0.5000 0.5000 0.5000
In 0.5457 0.5000 0.8223
In 0.8280 0.5000 0.3506
Pd 0.0733 0.5000 0.1383
Pd 0.9267 0.5000 0.8617
```

Entry from Alexandria: an optimized crystal structure of Dy2InPd4 (PBE). Values from VASP.

**DFT formation energy**: -706 meV per atom
**DOS at the Fermi energy**: 0.435 states/eV per atom
**Space group**: C2/m

Cell and atoms, written as Quantum ESPRESSO input:
```
&SYSTEM
  ibrav = 0, nat = 14, ntyp = 3
/
ATOMIC_SPECIES
Dy 162.50 Dy.upf
In 114.82 In.upf
Pd 106.42 Pd.upf
CELL_PARAMETERS angstrom
7.8306 0.0000 0.0000
0.0000 5.0277 0.0000
-0.6784 0.0000 7.5136
ATOMIC_POSITIONS crystal
Dy 0.2064 0.0000 0.2904
Dy 0.2936 0.5000 0.7096
Dy 0.7064 0.5000 0.2904
Dy 0.7936 0.0000 0.7096
In 0.0000 0.5000 0.0000
In 0.5000 0.0000 0.0000
Pd 0.0857 0.5000 0.3582
Pd 0.1486 0.0000 0.8916
Pd 0.3514 0.5000 0.1084
Pd 0.4143 0.0000 0.6418
Pd 0.5857 0.0000 0.3582
Pd 0.6486 0.5000 0.8916
Pd 0.8514 0.0000 0.1084
Pd 0.9143 0.5000 0.6418
```